No. 1
# LaTlZn

Crystalline LaTlZn at its relaxed geometry (GGA-PBE, OQMD).

Structure (POSCAR):
```
LaTlZn
1.0
0.000 3.644 3.644
3.644 0.000 3.644
3.644 3.644 0.000
La Tl Zn
1 1 1
Direct
0.000 0.000 0.000
0.750 0.750 0.750
0.250 0.250 0.250
```

Properties
Total energy   -2.786 eV per atom



No. 2
# LaTlZn

Crystalline LaTlZn at its relaxed geometry (GGA-PBE, OQMD).

Structure (POSCAR):
```
LaTlZn
1.0
5.357 0.000 0.000
-2.678 4.639 0.000
0.000 0.000 6.576
La Tl Zn
2 2 2
Direct
0.333 0.667 0.250
0.667 0.333 0.750
0.333 0.667 0.750
0.667 0.333 0.250
0.000 0.000 0.000
0.000 0.000 0.500
```

Properties
Total energy   -3.085 eV per atom



No. 3
# LaTlZn

Crystalline LaTlZn at its relaxed geometry (GGA-PBE, OQMD).

Structure (POSCAR):
```
LaTlZn
1.0
0.000 3.552 3.552
3.552 0.000 3.552
3.552 3.552 0.000
La Tl Zn
1 1 1
Direct
0.000 0.000 0.000
0.250 0.250 0.250
0.500 0.500 0.500
```

Properties
Total energy   -3.027 eV per atom



No. 4
# LaTm

Crystalline LaTm at its relaxed geometry (GGA-PBE, OQMD).

Structure (POSCAR):
```
LaTm
1.0
0.000 3.571 3.571
3.571 0.000 3.571
3.571 3.571 0.000
La Tm
1 1
Direct
0.000 0.000 0.000
0.750 0.750 0.750
```

Properties
Total energy   -3.090 eV per atom
Energy of formation from the pure elements   1609 meV/atom
E above lowest polymorph   1.546 eV per atom



No. 5
# LaTm2

Crystalline LaTm2 at its relaxed geometry (GGA-PBE, OQMD).

Structure (POSCAR):
```
LaTm2
1.0
0.000 4.736 4.736
4.736 0.000 4.736
4.736 4.736 0.000
La Tm
2 4
Direct
0.125 0.125 0.125
0.875 0.875 0.875
0.000 0.500 0.500
0.500 0.000 0.500
0.500 0.500 0.000
0.500 0.500 0.500
```

Properties
Total energy   -4.356 eV per atom
Energy of formation from the pure elements   268 meV/atom
E above lowest polymorph   0.000 eV per atom



No. 6
# LaTm2

Crystalline LaTm2 at its relaxed geometry (GGA-PBE, OQMD).

Structure (POSCAR):
```
LaTm2
1.0
0.000 7.418 7.418
7.418 0.000 7.418
7.418 7.418 0.000
La Tm
2 4
Direct
0.125 0.125 0.125
0.875 0.875 0.875
0.000 0.000 0.000
0.000 0.000 0.500
0.000 0.500 0.000
0.500 0.000 0.000
```

Properties
Total energy   -2.212 eV per atom
Energy of formation from the pure elements   2412 meV/atom
E above lowest polymorph   2.144 eV per atom